First-principles (GGA-PBE) data for a relaxed CeNdIr crystal, as listed in the Alexandria database.

Lattice parameters (Å, degrees): 7.4067 8.8404 8.8404 66.02 65.23 65.23
Last column: magnetic moment on the atom in μB.
Positions (direct):
Ce1 0.4964 0.6284 0.6286  0.21
Ce2 0.0103 0.0000 0.0000  0.21
Ce3 0.7535 0.3716 0.3714  0.21
Ce4 0.4964 0.1286 0.1284  0.21
Ce5 0.7535 0.8714 0.8716  0.21
Ce6 0.0103 0.5000 0.5000  0.21
Nd1 0.7533 0.4573 0.9573  0.02
Nd2 0.1679 0.5427 0.0427  0.02
Nd3 0.7532 0.9575 0.4575  0.01
Nd4 0.3386 0.7501 0.2501  0.02
Nd5 0.3388 0.2499 0.7499  0.02
Nd6 0.1683 0.0425 0.5425  0.01
Ir1 0.4198 0.3334 0.3335  -0.01
Ir2 0.4198 0.8335 0.8334  -0.01
Ir3 0.0866 0.6666 0.6665  -0.01
Ir4 0.7529 0.7503 0.2503  -0.01
Ir5 0.0866 0.1665 0.1666  -0.01
Ir6 0.7535 0.2497 0.7497  -0.01

Output
**Total magnetic moment**: 0.3 μB/f.u.
**Formation energy**: -0.54 eV per atom
**SG**: Amm2, No. 38
**DOS(E_F)**: 1.72 states/eV/atom